Record 1
Entry from Alexandria: crystalline SmTmRe at its relaxed geometry (PBE).

Unit cell a=6.8150 b=12.2513 c=7.7993 alpha=90.00 beta=90.00 gamma=90.00
Last column: nearest neighbours and their distance in Å.
Space group Cmce (No. 64)
One atom of each set of equivalent atoms:
Sm  0.0000  0.1932  0.1119 [8 per cell]  2 Re 2.86-2.95
Tm  0.2500  0.0464  0.7500 [8 per cell]  4 Re 2.91-2.92
Re  0.0000  0.0950  0.4566 [8 per cell]  1 Re 2.42

Values from the calculation:
The crystal system is orthorhombic. The formation energy from the elements is 0.17 eV per atom. The total magnetic moment is 0.0 μB per formula unit.


Record 2
Entry from Alexandria: crystalline In2SnI at its relaxed geometry (PBE).

Unit cell a=3.4408 b=3.4408 c=36.4094 alpha=90.00 beta=90.00 gamma=120.00
Last column: nearest neighbours and their distance in Å.
Space group R-3m (No. 166, hexagonal axes)
One atom of each set of equivalent atoms:
In  0.0000  0.0000  0.0899 [6 per cell]  1 I 3.27, 3 Sn 3.43, 6 In 3.44
Sn  0.0000  0.0000  0.5000 [3 per cell]  6 In 3.43, 6 Sn 3.44
I  0.0000  0.0000  0.0000 [3 per cell]  2 In 3.27, 6 I 3.44

Values from the calculation:
The crystal system is trigonal. As for the offset from the most stable computed form: 128 meV per atom. The total magnetic moment is 0.0 μB per formula unit.